## A
A plane-wave DFT calculation with PBE was carried out for a relaxed Cd2SbCl crystal.

Values from the calculation:
- Total moment: 0.000 μB/f.u.

abc: 8.3567 8.0267 3.4702
angles: 90.00 113.02 90.00
Fractional positions:
Cd  0.2500  0.2500  0.0000
Cd  0.2500  0.7500  0.0000
Cd  0.7500  0.2500  0.0000
Cd  0.7500  0.7500  0.0000
Sb  0.0000  0.0000  0.0000
Sb  0.5000  0.5000  0.0000
Cl  0.0000  0.5000  0.0000
Cl  0.5000  0.0000  0.0000

## B
A plane-wave DFT calculation with PBE was carried out for a relaxed Cd2SbCl crystal.

Values from the calculation:
- Total moment: 0.000 μB/f.u.

abc: 7.3106 7.3106 7.3106
angles: 90.00 90.00 90.00
Fractional positions:
Cd  0.2500  0.2500  0.2500
Cd  0.2500  0.2500  0.7500
Cd  0.2500  0.7500  0.2500
Cd  0.2500  0.7500  0.7500
Cd  0.7500  0.2500  0.2500
Cd  0.7500  0.2500  0.7500
Cd  0.7500  0.7500  0.2500
Cd  0.7500  0.7500  0.7500
Sb  0.0000  0.0000  0.0000
Sb  0.0000  0.5000  0.5000
Sb  0.5000  0.0000  0.5000
Sb  0.5000  0.5000  0.0000
Cl  0.0000  0.0000  0.5000
Cl  0.0000  0.5000  0.0000
Cl  0.5000  0.0000  0.0000
Cl  0.5000  0.5000  0.5000

## C
A plane-wave DFT calculation with PBE was carried out for a relaxed Cd2SbCl crystal.

Values from the calculation:
- Total moment: 0.000 μB/f.u.

abc: 4.2534 5.8267 4.2569
angles: 90.00 90.00 90.00
Fractional positions:
Cd  0.0000  0.0000  0.0000
Cd  0.4935  0.5000  0.5045
Sb  0.9933  0.5000  0.0049
Cl  0.4972  0.0000  0.5024

## D
A plane-wave DFT calculation with PBE was carried out for a relaxed Cd2SbCl crystal.

Values from the calculation:
- Total moment: 0.000 μB/f.u.

abc: 3.0859 5.0750 13.1637
angles: 90.00 90.00 90.00
Fractional positions:
Cd  0.0000  0.0000  0.2210
Cd  0.0000  0.0000  0.7790
Cd  0.5000  0.5000  0.2790
Cd  0.5000  0.5000  0.7210
Sb  0.0000  0.5000  0.5000
Sb  0.5000  0.0000  0.0000
Cl  0.0000  0.5000  0.0000
Cl  0.5000  0.0000  0.5000

Computed energies relative to the best structure, in eV/atom: A 0.090; B 0.231; C 0.000; D 0.283

## A
A plane-wave DFT calculation with PBE was carried out for a relaxed CdSb2Cl8 crystal.

Values from the calculation:
- Total moment: 0.000 μB/f.u.

abc: 7.8679 7.8679 8.0326
angles: 105.44 105.44 82.53
Fractional positions:
Cd  0.0000  0.0000  0.0000
Sb  0.1603  0.1603  0.6207
Sb  0.8397  0.8397  0.3793
Cl  0.0545  0.7097  0.2058
Cl  0.1882  0.1882  0.2419
Cl  0.2903  0.9455  0.7942
Cl  0.3723  0.3723  0.7572
Cl  0.6277  0.6277  0.2428
Cl  0.7097  0.0545  0.2058
Cl  0.8118  0.8118  0.7581
Cl  0.9455  0.2903  0.7942

## B
A plane-wave DFT calculation with PBE was carried out for a relaxed CdSb2Cl8 crystal.

Values from the calculation:
- Total moment: 0.000 μB/f.u.

abc: 9.6182 9.6182 9.6266
angles: 90.39 90.39 22.26
Fractional positions:
Cd  0.0000  0.0000  0.0000
Sb  0.3454  0.3454  0.7338
Sb  0.6546  0.6546  0.2662
Cl  0.0993  0.0993  0.4348
Cl  0.1427  0.1427  0.0442
Cl  0.2596  0.2596  0.3030
Cl  0.5002  0.5002  0.1925
Cl  0.4998  0.4998  0.8075
Cl  0.7404  0.7404  0.6970
Cl  0.8573  0.8573  0.9558
Cl  0.9007  0.9007  0.5652

Computed energies relative to the best structure, in eV/atom: A 0.010; B 0.000

## A
A plane-wave DFT calculation with PBE was carried out for a relaxed CdSbCl2 crystal.

Values from the calculation:
- Total moment: 0.000 μB/f.u.

abc: 3.5106 5.8252 5.1556
angles: 90.00 90.00 90.00
Fractional positions:
Cd  0.0000  0.0000  0.0000
Sb  0.5000  0.5000  0.9886
Cl  0.0000  0.0000  0.4991
Cl  0.5000  0.5000  0.5104

## B
A plane-wave DFT calculation with PBE was carried out for a relaxed CdSbCl2 crystal.

Values from the calculation:
- Total moment: 0.000 μB/f.u.

abc: 4.6006 4.6006 9.0047
angles: 90.00 90.00 90.00
Fractional positions:
Cd  0.0000  0.0000  0.0000
Cd  0.5000  0.5000  0.5000
Sb  0.0000  0.0000  0.5000
Sb  0.5000  0.5000  0.0000
Cl  0.0000  0.5000  0.2500
Cl  0.0000  0.5000  0.7500
Cl  0.5000  0.0000  0.2500
Cl  0.5000  0.0000  0.7500

Computed energies relative to the best structure, in eV/atom: A 0.000; B 0.284

## A
A plane-wave DFT calculation with PBE was carried out for a relaxed CdSbCl2 crystal.

Values from the calculation:
- Total moment: 0.000 μB/f.u.

abc: 3.4529 3.4529 27.8557
angles: 90.00 90.00 120.00
Fractional positions:
Cd  0.0000  0.0000  0.0000
Cd  0.3333  0.6667  0.6667
Cd  0.6667  0.3333  0.3333
Sb  0.0000  0.0000  0.5000
Sb  0.3333  0.6667  0.1667
Sb  0.6667  0.3333  0.8333
Cl  0.0000  0.0000  0.2487
Cl  0.0000  0.0000  0.7513
Cl  0.3333  0.6667  0.4180
Cl  0.3333  0.6667  0.9154
Cl  0.6667  0.3333  0.0846
Cl  0.6667  0.3333  0.5820

## B
A plane-wave DFT calculation with PBE was carried out for a relaxed CdSbCl2 crystal.

Values from the calculation:
- Total moment: 0.000 μB/f.u.

abc: 7.2974 7.2974 7.2974
angles: 90.00 90.00 90.00
Fractional positions:
Cd  0.0000  0.0000  0.0000
Cd  0.0000  0.5000  0.5000
Cd  0.5000  0.0000  0.5000
Cd  0.5000  0.5000  0.0000
Sb  0.0000  0.0000  0.5000
Sb  0.0000  0.5000  0.0000
Sb  0.5000  0.0000  0.0000
Sb  0.5000  0.5000  0.5000
Cl  0.2500  0.2500  0.2500
Cl  0.2500  0.2500  0.7500
Cl  0.2500  0.7500  0.2500
Cl  0.2500  0.7500  0.7500
Cl  0.7500  0.2500  0.2500
Cl  0.7500  0.2500  0.7500
Cl  0.7500  0.7500  0.2500
Cl  0.7500  0.7500  0.7500

Computed energies relative to the best structure, in eV/atom: A 0.000; B 0.250

## A
A plane-wave DFT calculation with PBE was carried out for a relaxed CdSbCl2 crystal.

Values from the calculation:
- Total moment: 0.000 μB/f.u.

abc: 6.3999 8.9158 3.3535
angles: 90.00 90.00 90.00
Fractional positions:
Cd  0.0000  0.0000  0.0000
Cd  0.5000  0.5000  0.0000
Sb  0.0000  0.5000  0.0000
Sb  0.5000  0.0000  0.0000
Cl  0.2500  0.2500  0.5000
Cl  0.2500  0.7500  0.5000
Cl  0.7500  0.2500  0.5000
Cl  0.7500  0.7500  0.5000

## B
A plane-wave DFT calculation with PBE was carried out for a relaxed CdSbCl2 crystal.

Values from the calculation:
- Total moment: 0.000 μB/f.u.

abc: 13.8950 3.7231 5.2818
angles: 90.00 112.24 90.00
Fractional positions:
Cd  0.0000  0.0000  0.0000
Cd  0.5000  0.5000  0.0000
Sb  0.0000  0.5000  0.5000
Sb  0.5000  0.0000  0.5000
Cl  0.1596  0.0000  0.6592
Cl  0.3404  0.5000  0.3408
Cl  0.6596  0.5000  0.6592
Cl  0.8404  0.0000  0.3408

Computed energies relative to the best structure, in eV/atom: A 0.213; B 0.000

## A
A plane-wave DFT calculation with PBE was carried out for a relaxed CdSbCl2 crystal.

Values from the calculation:
- Total moment: 0.000 μB/f.u.

abc: 3.8804 6.4292 9.4211
angles: 90.00 90.00 90.00
Fractional positions:
Cd  0.0000  0.0000  0.0000
Cd  0.5000  0.5000  0.0000
Sb  0.0000  0.5000  0.2470
Sb  0.5000  0.0000  0.2470
Cl  0.0000  0.0000  0.4490
Cl  0.0000  0.5000  0.8241
Cl  0.5000  0.0000  0.8241
Cl  0.5000  0.5000  0.4490

## B
A plane-wave DFT calculation with PBE was carried out for a relaxed CdSbCl2 crystal.

Values from the calculation:
- Total moment: 0.000 μB/f.u.

abc: 3.4959 3.4959 8.6027
angles: 90.00 90.00 90.00
Fractional positions:
Cd  0.0000  0.0000  0.0000
Sb  0.5000  0.5000  0.7540
Cl  0.0000  0.0000  0.5533
Cl  0.5000  0.5000  0.1636

Computed energies relative to the best structure, in eV/atom: A 0.000; B 0.043